Record 1
First-principles (PBE) data for a relaxed structure of Pm2B2PtRh5, as listed in the Alexandria database.

magnetization = 0.000 μB/f.u.
E = -7.1541 eV/atom
space-group type = No. 127
formation energy from the elements = -0.589 eV per atom

Cell: 9.6774 9.6774 3.2494 Å, 90.00 90.00 90.00°
Fractional coordinates of all 20 atoms:
Pm  0.1783  0.3217  0.0000
Pm  0.3217  0.8217  0.0000
Pm  0.6783  0.1783  0.0000
Pm  0.8217  0.6783  0.0000
B  0.1213  0.6213  0.0000
B  0.3787  0.1213  0.0000
B  0.6213  0.8787  0.0000
B  0.8787  0.3787  0.0000
Pt  0.0000  0.0000  0.0000
Pt  0.5000  0.5000  0.0000
Rh  0.0000  0.5000  0.5000
Rh  0.0696  0.7720  0.5000
Rh  0.2280  0.0696  0.5000
Rh  0.2720  0.5696  0.5000
Rh  0.4304  0.2720  0.5000
Rh  0.5000  0.0000  0.5000
Rh  0.5696  0.7280  0.5000
Rh  0.7280  0.4304  0.5000
Rh  0.7720  0.9304  0.5000
Rh  0.9304  0.2280  0.5000

Record 2
First-principles (PBE) data for a relaxed structure of Pm3BPt2Rh3, as listed in the Alexandria database.

magnetization = 0.000 μB/f.u.
E = -6.9009 eV/atom
space-group type = No. 189
formation energy from the elements = -0.783 eV per atom

Cell: 7.4145 7.4145 3.5469 Å, 90.00 90.00 120.00°
Fractional coordinates of all 9 atoms:
Pm  0.0000  0.6190  0.0000
Pm  0.3810  0.3810  0.0000
Pm  0.6190  0.0000  0.0000
B  0.0000  0.0000  0.0000
Pt  0.3333  0.6667  0.5000
Pt  0.6667  0.3333  0.5000
Rh  0.0000  0.2120  0.5000
Rh  0.2120  0.0000  0.5000
Rh  0.7880  0.7880  0.5000

Record 3
First-principles (PBE) data for a relaxed structure of Pm3B2Pt9Rh, as listed in the Alexandria database.

magnetization = 0.000 μB/f.u.
E = -6.6857 eV/atom
space-group type = No. 164
formation energy from the elements = -0.731 eV per atom

Cell: 5.7444 5.7444 9.5255 Å, 90.00 90.00 120.00°
Fractional coordinates of all 15 atoms:
Pm  0.0000  0.0000  0.0000
Pm  0.3333  0.6667  0.5954
Pm  0.6667  0.3333  0.4046
B  0.3333  0.6667  0.1473
B  0.6667  0.3333  0.8527
Pt  0.0000  0.5000  0.0000
Pt  0.1622  0.3245  0.2767
Pt  0.1622  0.8378  0.2767
Pt  0.3245  0.1622  0.7233
Pt  0.5000  0.0000  0.0000
Pt  0.5000  0.5000  0.0000
Pt  0.6755  0.8378  0.2767
Pt  0.8378  0.1622  0.7233
Pt  0.8378  0.6755  0.7233
Rh  0.0000  0.0000  0.5000

Record 4
First-principles (PBE) data for a relaxed structure of PmBPtRh2, as listed in the Alexandria database.

magnetization = 0.000 μB/f.u.
E = -7.2301 eV/atom
space-group type = No. 123
formation energy from the elements = -0.796 eV per atom

Cell: 4.2947 4.2947 4.2551 Å, 90.00 90.00 90.00°
Fractional coordinates of all 5 atoms:
Pm  0.0000  0.0000  0.0000
B  0.5000  0.5000  0.5000
Pt  0.5000  0.5000  0.0000
Rh  0.0000  0.5000  0.5000
Rh  0.5000  0.0000  0.5000

Record 5
First-principles (PBE) data for a relaxed structure of Pm3B2SbPt8, as listed in the Alexandria database.

magnetization = 0.000 μB/f.u.
E = -6.4572 eV/atom
formation energy (no corrections) = -17.0 kcal/mol of atoms
space-group type = No. 164

Cell: 5.4603 5.4603 10.1432 Å, 90.00 90.00 120.00°
Fractional coordinates of all 14 atoms:
Pm  0.0000  0.0000  0.0000
Pm  0.3333  0.6667  0.6031
Pm  0.6667  0.3333  0.3969
B  0.3333  0.6667  0.1181
B  0.6667  0.3333  0.8819
Sb  0.0000  0.0000  0.5000
Pt  0.1679  0.3359  0.2599
Pt  0.1679  0.8321  0.2599
Pt  0.3333  0.6667  0.9206
Pt  0.3359  0.1679  0.7401
Pt  0.6641  0.8321  0.2599
Pt  0.6667  0.3333  0.0794
Pt  0.8321  0.1679  0.7401
Pt  0.8321  0.6641  0.7401

Record 6
First-principles (PBE) data for a relaxed structure of Pm3B2SbPt9, as listed in the Alexandria database.

magnetization = 0.000 μB/f.u.
E = -6.5173 eV/atom
formation energy (no corrections) = -17.9 kcal/mol of atoms
space-group type = No. 164

Cell: 5.8347 5.8347 9.4681 Å, 90.00 90.00 120.00°
Fractional coordinates of all 15 atoms:
Pm  0.0000  0.0000  0.0000
Pm  0.3333  0.6667  0.6152
Pm  0.6667  0.3333  0.3848
B  0.3333  0.6667  0.1431
B  0.6667  0.3333  0.8569
Sb  0.0000  0.0000  0.5000
Pt  0.0000  0.5000  0.0000
Pt  0.1678  0.3355  0.2788
Pt  0.1678  0.8322  0.2788
Pt  0.3355  0.1678  0.7212
Pt  0.5000  0.0000  0.0000
Pt  0.5000  0.5000  0.0000
Pt  0.6645  0.8322  0.2788
Pt  0.8322  0.1678  0.7212
Pt  0.8322  0.6645  0.7212

Record 7
First-principles (PBE) data for a relaxed structure of Pm2BSbPt6, as listed in the Alexandria database.

magnetization = 0.000 μB/f.u.
E = -6.4781 eV/atom
formation energy (no corrections) = -19.0 kcal/mol of atoms
space-group type = No. 59

Cell: 5.8359 8.6968 7.6116 Å, 90.00 90.00 90.00°
Fractional coordinates of all 20 atoms:
Pm  0.2500  0.0284  0.2231
Pm  0.2500  0.4716  0.2231
Pm  0.7500  0.5284  0.7769
Pm  0.7500  0.9716  0.7769
B  0.2500  0.2500  0.6852
B  0.7500  0.7500  0.3148
Sb  0.2500  0.7500  0.8285
Sb  0.7500  0.2500  0.1715
Pt  0.0089  0.7500  0.5070
Pt  0.0148  0.2500  0.8979
Pt  0.2500  0.0065  0.6445
Pt  0.2500  0.4935  0.6445
Pt  0.4852  0.2500  0.8979
Pt  0.4911  0.7500  0.5070
Pt  0.5089  0.2500  0.4930
Pt  0.5148  0.7500  0.1021
Pt  0.7500  0.5065  0.3555
Pt  0.7500  0.9935  0.3555
Pt  0.9852  0.7500  0.1021
Pt  0.9911  0.2500  0.4930

Record 8
First-principles (PBE) data for a relaxed structure of Pm2SiBPt6, as listed in the Alexandria database.

magnetization = 0.000 μB/f.u.
E = -6.7242 eV/atom
formation energy (no corrections) = -21.7 kcal/mol of atoms
space-group type = No. 59

Cell: 5.7398 8.6486 7.2600 Å, 90.00 90.00 90.00°
Fractional coordinates of all 20 atoms:
Pm  0.2500  0.0315  0.2200
Pm  0.2500  0.4685  0.2200
Pm  0.7500  0.5315  0.7800
Pm  0.7500  0.9685  0.7800
Si  0.2500  0.7500  0.8036
Si  0.7500  0.2500  0.1964
B  0.2500  0.2500  0.7092
B  0.7500  0.7500  0.2908
Pt  0.0001  0.2500  0.9277
Pt  0.9999  0.7500  0.0723
Pt  0.0101  0.7500  0.4986
Pt  0.2500  0.0019  0.6548
Pt  0.2500  0.4981  0.6548
Pt  0.4899  0.7500  0.4986
Pt  0.4999  0.2500  0.9277
Pt  0.5001  0.7500  0.0723
Pt  0.5101  0.2500  0.5014
Pt  0.7500  0.5019  0.3452
Pt  0.7500  0.9981  0.3452
Pt  0.9899  0.2500  0.5014

Record 9
First-principles (PBE) data for a relaxed structure of Pm3SiB2Pt8, as listed in the Alexandria database.

magnetization = 0.000 μB/f.u.
E = -6.5654 eV/atom
formation energy (no corrections) = -17.4 kcal/mol of atoms
space-group type = No. 164

Cell: 5.4924 5.4924 9.5467 Å, 90.00 90.00 120.00°
Fractional coordinates of all 14 atoms:
Pm  0.0000  0.0000  0.0000
Pm  0.3333  0.6667  0.5840
Pm  0.6667  0.3333  0.4160
Si  0.0000  0.0000  0.5000
B  0.3333  0.6667  0.1306
B  0.6667  0.3333  0.8694
Pt  0.1672  0.3344  0.2827
Pt  0.1672  0.8328  0.2827
Pt  0.3333  0.6667  0.9219
Pt  0.3344  0.1672  0.7173
Pt  0.6656  0.8328  0.2827
Pt  0.6667  0.3333  0.0781
Pt  0.8328  0.1672  0.7173
Pt  0.8328  0.6656  0.7173

Record 10
First-principles (PBE) data for a relaxed structure of Pm3SiB2Pt9, as listed in the Alexandria database.

magnetization = 0.000 μB/f.u.
E = -6.6772 eV/atom
formation energy (no corrections) = -19.6 kcal/mol of atoms
space-group type = No. 164

Cell: 5.8139 5.8139 9.0657 Å, 90.00 90.00 120.00°
Fractional coordinates of all 15 atoms:
Pm  0.0000  0.0000  0.0000
Pm  0.3333  0.6667  0.6076
Pm  0.6667  0.3333  0.3924
Si  0.0000  0.0000  0.5000
B  0.3333  0.6667  0.1510
B  0.6667  0.3333  0.8490
Pt  0.0000  0.5000  0.0000
Pt  0.1643  0.3287  0.2939
Pt  0.1643  0.8357  0.2939
Pt  0.3287  0.1643  0.7061
Pt  0.5000  0.0000  0.0000
Pt  0.5000  0.5000  0.0000
Pt  0.6713  0.8357  0.2939
Pt  0.8357  0.1643  0.7061
Pt  0.8357  0.6713  0.7061

Record 11
First-principles (PBE) data for a relaxed structure of Pm3SnB2Pt9, as listed in the Alexandria database.

magnetization = 0.000 μB/f.u.
E = -6.5217 eV/atom
space-group type = No. 164
formation energy from the elements = -0.790 eV per atom

Cell: 5.8314 5.8314 9.4706 Å, 90.00 90.00 120.00°
Fractional coordinates of all 15 atoms:
Pm  0.0000  0.0000  0.0000
Pm  0.3333  0.6667  0.6188
Pm  0.6667  0.3333  0.3812
Sn  0.0000  0.0000  0.5000
B  0.3333  0.6667  0.1435
B  0.6667  0.3333  0.8565
Pt  0.0000  0.5000  0.0000
Pt  0.1671  0.3342  0.2783
Pt  0.1671  0.8329  0.2783
Pt  0.3342  0.1671  0.7217
Pt  0.5000  0.0000  0.0000
Pt  0.5000  0.5000  0.0000
Pt  0.6658  0.8329  0.2783
Pt  0.8329  0.1671  0.7217
Pt  0.8329  0.6658  0.7217

Record 12
First-principles (PBE) data for a relaxed structure of Pm2SnBPt6, as listed in the Alexandria database.

magnetization = 0.000 μB/f.u.
E = -6.4640 eV/atom
space-group type = No. 12
formation energy from the elements = -0.821 eV per atom

Cell: 5.7591 5.7591 7.4990 Å, 112.64 112.64 59.99°
Fractional coordinates of all 10 atoms:
Pm  0.2193  0.2193  0.1594
Pm  0.7807  0.7807  0.8406
Sn  0.5000  0.5000  0.0000
B  0.0000  0.0000  0.5000
Pt  0.2319  0.2319  0.6839
Pt  0.2324  0.7224  0.6853
Pt  0.2776  0.7676  0.3147
Pt  0.7224  0.2324  0.6853
Pt  0.7676  0.2776  0.3147
Pt  0.7681  0.7681  0.3161

Record 13
First-principles (PBE) data for a relaxed structure of Pm2ZnBPt6, as listed in the Alexandria database.

magnetization = 0.000 μB/f.u.
E = -6.2395 eV/atom
space-group type = No. 166
formation energy from the elements = -0.870 eV per atom

Cell: 7.3533 7.3533 7.3533 Å, 45.36 45.36 45.36°
Fractional coordinates of all 10 atoms:
Pm  0.2108  0.2108  0.2108
Pm  0.7892  0.7892  0.7892
Zn  0.5000  0.5000  0.5000
B  0.0000  0.0000  0.0000
Pt  0.2360  0.2360  0.7213
Pt  0.2360  0.7213  0.2360
Pt  0.2787  0.7640  0.7640
Pt  0.7213  0.2360  0.2360
Pt  0.7640  0.2787  0.7640
Pt  0.7640  0.7640  0.2787

Record 14
First-principles (PBE) data for a relaxed structure of PmPuB, as listed in the Alexandria database.

magnetization = 0.000 μB/f.u.
E = -8.6542 eV/atom
space-group type = No. 12
formation energy from the elements = -0.068 eV per atom

Cell: 10.3167 10.3167 3.1313 Å, 91.66 91.66 20.55°
Fractional coordinates of all 6 atoms:
Pm  0.0857  0.0857  0.2637
Pm  0.9143  0.9143  0.7363
Pu  0.2771  0.2771  0.1431
Pu  0.7229  0.7229  0.8569
B  0.4872  0.4872  0.2479
B  0.5128  0.5128  0.7521

Record 15
First-principles (PBE) data for a relaxed structure of RbPmB12, as listed in the Alexandria database.

magnetization = 0.000 μB/f.u.
E = -6.4120 eV/atom
space-group type = No. 225
formation energy from the elements = -0.280 eV per atom

Cell: 5.9353 5.9353 5.9353 Å, 60.00 60.00 60.00°
Fractional coordinates of all 14 atoms:
Rb  0.0000  0.0000  0.0000
Pm  0.5000  0.5000  0.5000
B  0.1013  0.1013  0.3987
B  0.1013  0.3987  0.1013
B  0.1013  0.3987  0.3987
B  0.3987  0.1013  0.1013
B  0.3987  0.1013  0.3987
B  0.3987  0.3987  0.1013
B  0.6013  0.6013  0.8987
B  0.6013  0.8987  0.6013
B  0.6013  0.8987  0.8987
B  0.8987  0.6013  0.6013
B  0.8987  0.6013  0.8987
B  0.8987  0.8987  0.6013

Record 16
First-principles (PBE) data for a relaxed structure of RbPm2B2S6, as listed in the Alexandria database.

magnetization = 0.000 μB/f.u.
E = -5.4982 eV/atom
formation energy (no corrections) = -24.9 kcal/mol of atoms
space-group type = No. 2

Cell: 7.1599 7.4582 7.4879 Å, 115.33 90.06 118.62°
Fractional coordinates of all 11 atoms:
Rb  0.0000  0.0000  0.0000
Pm  0.3299  0.6597  0.6698
Pm  0.6701  0.3403  0.3302
B  0.3495  0.7001  0.2579
B  0.6505  0.2999  0.7421
S  0.1032  0.6433  0.3502
S  0.4260  0.8538  0.1081
S  0.4610  0.3573  0.6503
S  0.5390  0.6427  0.3497
S  0.5740  0.1462  0.8919
S  0.8968  0.3567  0.6498

Record 17
First-principles (PBE) data for a relaxed structure of Rb2PmB2S6, as listed in the Alexandria database.

magnetization = 0.000 μB/f.u.
E = -5.0359 eV/atom
formation energy (no corrections) = -22.2 kcal/mol of atoms
space-group type = No. 12

Cell: 6.8366 6.8366 8.6367 Å, 114.40 114.40 58.93°
Fractional coordinates of all 11 atoms:
Rb  0.2030  0.2030  0.1764
Rb  0.7970  0.7970  0.8236
Pm  0.0000  0.0000  0.5000
B  0.4307  0.4307  0.7188
B  0.5693  0.5693  0.2812
S  0.2489  0.7083  0.2373
S  0.2638  0.2638  0.6597
S  0.2917  0.7511  0.7627
S  0.7083  0.2489  0.2373
S  0.7362  0.7362  0.3403
S  0.7511  0.2917  0.7627

Record 18
First-principles (PBE) data for a relaxed structure of PmReB2, as listed in the Alexandria database.

magnetization = 0.000 μB/f.u.
E = -7.6297 eV/atom
energy above the most stable polymorph in this dataset = 400 meV/atom
space-group type = No. 166
formation energy from the elements = 0.009 eV per atom

Cell: 6.0218 6.0218 6.0218 Å, 33.00 33.00 33.00°
Fractional coordinates of all 4 atoms:
Pm  0.0000  0.0000  0.0000
Re  0.5000  0.5000  0.5000
B  0.2267  0.2267  0.2267
B  0.7733  0.7733  0.7733

Record 19
First-principles (PBE) data for a relaxed structure of PmReB3, as listed in the Alexandria database.

magnetization = 0.000 μB/f.u.
E = -7.5040 eV/atom
energy above the most stable polymorph in this dataset = 214 meV/atom
space-group type = No. 15
formation energy from the elements = -0.058 eV per atom

Cell: 5.8929 5.8929 5.9918 Å, 96.80 96.80 132.93°
Fractional coordinates of all 10 atoms:
Pm  0.1737  0.8263  0.7500
Pm  0.8263  0.1737  0.2500
Re  0.4819  0.5181  0.7500
Re  0.5181  0.4819  0.2500
B  0.1098  0.8902  0.2500
B  0.1887  0.3931  0.9749
B  0.3931  0.1887  0.4749
B  0.6069  0.8113  0.5251
B  0.8113  0.6069  0.0251
B  0.8902  0.1098  0.7500

Record 20
First-principles (PBE) data for a relaxed structure of PmRe3B3, as listed in the Alexandria database.

magnetization = 0.000 μB/f.u.
E = -9.0325 eV/atom
space-group type = No. 176
formation energy from the elements = -0.157 eV per atom

Cell: 8.3946 8.3946 3.0207 Å, 90.00 90.00 120.00°
Fractional coordinates of all 14 atoms:
Pm  0.3333  0.6667  0.2500
Pm  0.6667  0.3333  0.7500
Re  0.0391  0.2927  0.7500
Re  0.2536  0.9609  0.7500
Re  0.2927  0.2536  0.2500
Re  0.7073  0.7464  0.7500
Re  0.7464  0.0391  0.2500
Re  0.9609  0.7073  0.2500
B  0.0311  0.5584  0.7500
B  0.4416  0.4727  0.7500
B  0.4727  0.0311  0.2500
B  0.5273  0.9689  0.7500
B  0.5584  0.5273  0.2500
B  0.9689  0.4416  0.2500